1.
# SrAu

Crystalline SrAu at its relaxed geometry (PBE-GGA, Alexandria via LeMat-Bulk).

Output
* crystal system: cubic
* formation energy: -0.29 eV per atom
* total magnetic moment: 0.0 μB/cell

Lattice parameters (Å, degrees): 9.338 9.338 9.338 90.00 90.00 90.00
Fractional positions:
1 Sr 0.301 0.301 0.699
2 Sr 0.199 0.199 0.199
3 Sr 0.801 0.801 0.199
4 Au 0.886 0.114 0.114
5 Sr 0.801 0.199 0.801
6 Sr 0.699 0.699 0.699
7 Au 0.886 0.886 0.886
8 Sr 0.699 0.301 0.301
9 Au 0.114 0.114 0.886
10 Au 0.614 0.614 0.386
11 Sr 0.301 0.699 0.301
12 Au 0.386 0.614 0.614
13 Au 0.386 0.386 0.386
14 Sr 0.199 0.801 0.801
15 Au 0.114 0.886 0.114
16 Au 0.614 0.386 0.614


2.
# KCo2Pb

Crystalline KCo2Pb at its relaxed geometry (PBE-GGA, Alexandria via LeMat-Bulk).

Output
* crystal system: orthorhombic
* formation energy: 0.75 eV per atom
* ΔE to the lowest computed polymorph: 395.3 meV/atom
* total magnetic moment: 3.1 μB/cell

Lattice parameters (Å, degrees): 3.217 4.080 7.263 90.00 90.00 90.00
Last column: magnetic moment on the atom in μB.
Fractional positions:
1 Pb 0.500 0.500 0.750  -0.02
2 Co 0.000 0.000 0.599  1.59
3 K 0.500 0.500 0.250  0.00
4 Co 0.000 0.000 0.901  1.59


3.
# Mn2C

Crystalline Mn2C at its relaxed geometry (PBE-GGA, Alexandria via LeMat-Bulk).

Output
* crystal system: tetragonal
* formation energy: 0.26 eV per atom
* total magnetic moment: 0.1 μB/cell

Lattice parameters (Å, degrees): 3.210 3.210 5.289 90.00 90.00 90.00
Last column: magnetic moment on the atom in μB.
Fractional positions:
1 Mn 0.500 0.000 0.363  1.37
2 C 0.000 0.500 0.269  -0.02
3 Mn 0.000 0.500 0.637  1.37
4 C 0.500 0.000 0.731  -0.02
5 Mn 0.000 0.000 0.000  -1.40
6 Mn 0.500 0.500 0.000  -1.40


4.
# BaB2OsC

Crystalline BaB2OsC at its relaxed geometry (PBE-GGA, Alexandria via LeMat-Bulk).

Output
* crystal system: tetragonal
* formation energy: 1.85 eV per atom
* ΔE to the lowest computed polymorph: 1227.7 meV/atom
* total magnetic moment: 0.0 μB/cell

Lattice parameters (Å, degrees): 4.473 3.979 4.473 90.00 90.00 90.00
Fractional positions:
1 Os 0.000 0.500 0.000
2 C 0.000 0.000 0.000
3 B 0.000 0.000 0.500
4 B 0.500 0.000 0.000
5 Ba 0.500 0.500 0.500


5.
# La2NdDy6Er3

Crystalline La2NdDy6Er3 at its relaxed geometry (PBE-GGA, Alexandria via LeMat-Bulk).

Output
* crystal system: monoclinic
* formation energy: 0.02 eV per atom
* total magnetic moment: 0.0 μB/cell

Lattice parameters (Å, degrees): 6.205 6.205 11.852 95.00 95.00 120.00
Fractional positions:
1 Er 0.500 0.500 0.500
2 La 0.667 0.333 0.000
3 Dy 0.753 0.753 0.256
4 Dy 0.914 0.581 0.744
5 Er 0.833 0.167 0.500
6 Dy 0.419 0.086 0.256
7 Dy 0.581 0.914 0.744
8 Dy 0.247 0.247 0.744
9 La 0.333 0.667 0.000
10 Nd 0.000 0.000 0.000
11 Dy 0.086 0.419 0.256
12 Er 0.167 0.833 0.500


6.
# SrCaB2Ir

Crystalline SrCaB2Ir at its relaxed geometry (PBE-GGA, Alexandria via LeMat-Bulk).

Output
* crystal system: tetragonal
* formation energy: 2.55 eV per atom
* ΔE to the lowest computed polymorph: 896.5 meV/atom
* total magnetic moment: 0.0 μB/cell

Lattice parameters (Å, degrees): 4.596 5.597 4.596 90.00 90.00 90.00
Fractional positions:
1 Sr 0.000 0.000 0.000
2 B 0.000 0.000 0.500
3 Ir 0.500 0.500 0.500
4 B 0.500 0.000 0.000
5 Ca 0.000 0.500 0.000


7.
# LiCdNO2

Crystalline LiCdNO2 at its relaxed geometry (PBE-GGA, Alexandria via LeMat-Bulk).

Output
* crystal system: tetragonal
* total magnetic moment: 4.0 μB/cell
* energy relative to the elements, uncorrected: 0.451 eV per atom

Lattice parameters (Å, degrees): 3.775 3.775 3.894 90.00 90.00 90.00
Last column: magnetic moment on the atom in μB.
Fractional positions:
1 O 0.000 0.500 0.000  0.86
2 Li 0.000 0.000 0.000  0.03
3 N 0.000 0.000 0.500  1.44
4 Cd 0.500 0.500 0.500  -0.02
5 O 0.500 0.000 0.000  0.86


8.
# CaCdCo2Ir

Crystalline CaCdCo2Ir at its relaxed geometry (PBE-GGA, Alexandria via LeMat-Bulk).

Output
* crystal system: tetragonal
* formation energy: 0.54 eV per atom
* total magnetic moment: 4.3 μB/cell

Lattice parameters (Å, degrees): 4.704 5.094 4.704 90.00 90.00 90.00
Last column: magnetic moment on the atom in μB.
Fractional positions:
1 Cd 0.000 0.500 0.000  0.00
2 Co 0.500 0.000 0.000  1.69
3 Co 0.000 0.000 0.500  2.25
4 Ca 0.500 0.500 0.500  -0.05
5 Ir 0.000 0.000 0.000  0.53


9.
# PmAlCu2Si

Crystalline PmAlCu2Si at its relaxed geometry (PBE-GGA, Alexandria via LeMat-Bulk).

Output
* crystal system: orthorhombic
* total magnetic moment: 0.0 μB/cell
* energy relative to the elements, uncorrected: -0.481 eV per atom

Lattice parameters (Å, degrees): 4.013 4.025 6.058 109.40 109.34 90.00
Fractional positions:
1 Al 0.187 0.687 0.374
2 Si 0.833 0.833 0.667
3 Pm 0.438 0.438 0.875
4 Cu 0.701 0.201 0.402
5 Cu 0.053 0.053 0.107


10.
# LaCeN

Crystalline LaCeN at its relaxed geometry (PBE-GGA, Alexandria via LeMat-Bulk).

Output
* crystal system: trigonal
* ΔE to the lowest computed polymorph: 0.0 meV/atom
* total magnetic moment: 1.0 μB/cell
* energy relative to the elements, uncorrected: -0.865 eV per atom

Lattice parameters (Å, degrees): 6.562 3.602 3.602 120.00 90.00 90.00
Last column: magnetic moment on the atom in μB.
Fractional positions:
1 La 0.777 0.667 0.333  -0.01
2 N 0.016 0.000 0.000  -0.01
3 Ce 0.207 0.333 0.667  0.73


> Among the records above, which one has the highest total magnetic moment?

CaCdCo2Ir


> Which of these has the highest total magnetic moment?

CaCdCo2Ir


> Which formula does entry 6 have?

SrCaB2Ir